[1]
OsRh2Pb PBE-GGA optimized geometry; crystal system = trigonal; M_tot = 0.000 Bohr magnetons per cell; N(E_F) = 1.209 states/eV/atom; VASP energy = -27.240 eV per cell; DFT formation energy = 0.6003 eV/atom
1.0
1.470 0.848 9.065
-1.470 0.848 9.065
0.000 -1.697 9.065
Os Rh Pb
1 2 1
Cartesian
0.000 0.000 0.000
0.000 0.000 13.225
0.000 0.000 20.128
0.000 0.000 6.503

[2]
OsRh2Pb PBE-GGA optimized geometry; crystal system = orthorhombic; M_tot = 0.002 Bohr magnetons per cell; N(E_F) = 1.455 states/eV/atom; VASP energy = -27.722 eV per cell; DFT formation energy = 0.4797 eV/atom
1.0
4.008 0.000 0.000
0.000 4.020 0.000
0.000 0.000 4.055
Os Rh Pb
1 2 1
Cartesian
0.000 0.000 0.000
2.004 0.000 2.027
2.004 2.010 0.000
0.000 2.010 2.027

[3]
OsRh2Pb PBE-GGA optimized geometry; crystal system = orthorhombic; M_tot = 0.000 Bohr magnetons per cell; N(E_F) = 1.111 states/eV/atom; VASP energy = -28.019 eV per cell; DFT formation energy = 0.4055 eV/atom
1.0
2.881 -3.908 0.000
2.881 3.908 0.000
0.000 0.000 2.891
Os Rh Pb
1 2 1
Cartesian
0.000 0.000 0.000
1.441 1.954 1.446
1.441 -1.954 1.446
2.881 0.000 0.000

[4]
OsRh2Pb PBE-GGA optimized geometry; crystal system = orthorhombic; M_tot = 0.000 Bohr magnetons per cell; N(E_F) = 1.068 states/eV/atom; VASP energy = -27.914 eV per cell; DFT formation energy = 0.4317 eV/atom
1.0
2.910 0.000 0.000
0.000 3.838 0.000
0.000 0.000 6.014
Os Rh Pb
1 2 1
Cartesian
0.000 0.000 0.000
0.000 0.000 3.380
1.455 1.919 4.916
1.455 1.919 1.859

[5]
OsRh2Pb PBE-GGA optimized geometry; crystal system = monoclinic; M_tot = 0.000 Bohr magnetons per cell; N(E_F) = 0.706 states/eV/atom; VASP energy = -28.211 eV per cell; DFT formation energy = 0.3575 eV/atom
1.0
4.564 -1.463 0.000
4.564 1.463 0.000
-0.923 0.000 4.973
Os Rh Pb
1 2 1
Cartesian
0.000 0.000 0.000
4.105 0.000 2.158
6.602 0.000 0.885
1.617 0.000 3.402

[6]
OsRh2Pb PBE-GGA optimized geometry; crystal system = orthorhombic; M_tot = 0.570 Bohr magnetons per cell; N(E_F) = 1.247 states/eV/atom; VASP energy = -27.551 eV per cell; DFT formation energy = 0.5225 eV/atom
1.0
-1.442 2.388 4.864
1.442 -2.388 4.864
1.442 2.388 -4.864
Os Rh Pb
1 2 1
Cartesian
0.000 0.000 0.000
1.442 0.000 2.190
0.000 0.000 4.663
0.000 2.388 2.323

[7]
Os4RhPb PBE-GGA optimized geometry; crystal system = cubic; M_tot = 0.000 Bohr magnetons per cell; N(E_F) = 1.607 states/eV/atom; VASP energy = -50.008 eV per cell; DFT formation energy = 0.9951 eV/atom
1.0
0.000 3.702 3.702
3.702 0.000 3.702
3.702 3.702 0.000
Os Rh Pb
4 1 1
Cartesian
2.788 2.788 2.788
4.616 4.616 2.788
4.616 2.788 4.616
2.788 4.616 4.616
5.553 5.553 5.553
0.000 0.000 0.000

[8]
TaOs2RhPb PBE-GGA optimized geometry; crystal system = tetragonal; M_tot = 0.097 Bohr magnetons per cell; N(E_F) = 1.370 states/eV/atom; VASP energy = -36.717 eV per cell; DFT formation energy = 1.7311 eV/atom
1.0
4.772 0.000 0.000
0.000 4.772 0.000
0.000 0.000 4.765
Ta Os Rh Pb
1 2 1 1
Cartesian
0.000 0.000 0.000
0.000 2.386 2.383
2.386 0.000 2.383
0.000 0.000 2.383
2.386 2.386 0.000

[9]
TiOsRhPb2 PBE-GGA optimized geometry; crystal system = tetragonal; M_tot = 0.006 Bohr magnetons per cell; N(E_F) = 1.369 states/eV/atom; VASP energy = -27.526 eV per cell; DFT formation energy = 1.2733 eV/atom
1.0
5.121 0.000 0.000
0.000 5.121 0.000
0.000 0.000 4.776
Ti Os Rh Pb
1 1 1 2
Cartesian
0.000 0.000 0.000
2.560 2.560 0.000
2.560 2.560 2.388
0.000 2.560 2.388
2.560 0.000 2.388

[10]
OsRh2PbW PBE-GGA optimized geometry; crystal system = tetragonal; M_tot = 0.000 Bohr magnetons per cell; N(E_F) = 1.410 states/eV/atom; VASP energy = -28.655 eV per cell; DFT formation energy = 2.7878 eV/atom
1.0
4.744 0.000 0.000
0.000 4.744 0.000
0.000 0.000 5.028
Os Rh Pb W
1 2 1 1
Cartesian
0.000 0.000 0.000
0.000 2.372 2.514
2.372 0.000 2.514
2.372 2.372 2.514
2.372 2.372 0.000

[11]
Zn2OsRhPb PBE-GGA optimized geometry; crystal system = tetragonal; M_tot = 3.105 Bohr magnetons per cell; N(E_F) = 1.441 states/eV/atom; VASP energy = -15.145 eV per cell; DFT formation energy = 1.9384 eV/atom
1.0
4.908 0.000 0.000
0.000 4.908 0.000
0.000 0.000 5.030
Zn Os Rh Pb
2 1 1 1
Cartesian
0.000 2.454 0.000
2.454 0.000 0.000
0.000 0.000 2.515
2.454 2.454 2.515
2.454 2.454 0.000

[12]
ZnOsRhPb2 PBE-GGA optimized geometry; crystal system = tetragonal; M_tot = 2.179 Bohr magnetons per cell; N(E_F) = 1.225 states/eV/atom; VASP energy = -21.743 eV per cell; DFT formation energy = 1.1058 eV/atom
1.0
5.165 0.000 0.000
0.000 5.165 0.000
0.000 0.000 4.692
Zn Os Rh Pb
1 1 1 2
Cartesian
0.000 0.000 0.000
2.582 2.582 0.000
0.000 0.000 2.346
0.000 2.582 2.346
2.582 0.000 2.346

[13]
OsRuPb PBE-GGA optimized geometry; crystal system = trigonal; M_tot = 0.000 Bohr magnetons per cell; N(E_F) = 0.688 states/eV/atom; VASP energy = -21.976 eV per cell; DFT formation energy = 0.7460 eV/atom; polymorph energy (0 for the lowest one) = 14.1 kJ/mol of atoms
1.0
2.978 0.000 0.000
-1.489 2.579 0.000
0.000 0.000 6.911
Os Ru Pb
1 1 1
Cartesian
0.000 0.000 0.000
0.000 1.719 4.968
1.489 0.860 2.516

[14]
Os2RuPb2 PBE-GGA optimized geometry; crystal system = tetragonal; M_tot = 0.000 Bohr magnetons per cell; N(E_F) = 0.649 states/eV/atom; VASP energy = -34.128 eV per cell; DFT formation energy = 1.0048 eV/atom; polymorph energy (0 for the lowest one) = 0.0 kJ/mol of atoms
1.0
-1.741 1.741 8.581
1.741 -1.741 8.581
1.741 1.741 -8.581
Os Ru Pb
2 1 2
Cartesian
1.741 0.000 4.291
0.000 1.741 4.291
0.000 0.000 0.000
0.000 0.000 6.904
0.000 0.000 10.259

[15]
Os4RuPb PBE-GGA optimized geometry; crystal system = cubic; M_tot = 0.699 Bohr magnetons per cell; N(E_F) = 1.707 states/eV/atom; VASP energy = -51.520 eV per cell; DFT formation energy = 1.0638 eV/atom
1.0
0.000 3.695 3.695
3.695 0.000 3.695
3.695 3.695 0.000
Os Ru Pb
4 1 1
Cartesian
2.780 2.780 2.780
4.609 4.609 2.780
4.609 2.780 4.609
2.780 4.609 4.609
5.542 5.542 5.542
0.000 0.000 0.000

[16]
OsRuPb4 PBE-GGA optimized geometry; crystal system = cubic; M_tot = 3.991 Bohr magnetons per cell; N(E_F) = 1.237 states/eV/atom; VASP energy = -25.722 eV per cell; DFT formation energy = 1.6027 eV/atom
1.0
0.000 4.321 4.321
4.321 0.000 4.321
4.321 4.321 0.000
Os Ru Pb
1 1 4
Cartesian
0.000 0.000 0.000
2.161 2.161 2.161
5.402 3.240 3.240
3.240 5.402 3.240
3.240 3.240 5.402
5.402 5.402 5.402

[17]
OsRuPb PBE-GGA optimized geometry; crystal system = tetragonal; M_tot = 0.000 Bohr magnetons per cell; N(E_F) = 0.596 states/eV/atom; VASP energy = -22.413 eV per cell; DFT formation energy = 0.6004 eV/atom; polymorph energy (0 for the lowest one) = 0.0 kJ/mol of atoms
1.0
-1.484 1.484 6.103
1.484 -1.484 6.103
1.484 1.484 -6.103
Os Ru Pb
1 1 1
Cartesian
0.000 0.000 0.000
0.000 0.000 4.589
0.000 0.000 8.397

[18]
Os2RuPb2 PBE-GGA optimized geometry; crystal system = tetragonal; M_tot = 4.716 Bohr magnetons per cell; N(E_F) = 1.306 states/eV/atom; VASP energy = -64.787 eV per cell; DFT formation energy = 1.3517 eV/atom; polymorph energy (0 for the lowest one) = 33.5 kJ/mol of atoms
1.0
7.781 0.000 0.000
0.000 7.781 0.000
0.000 0.000 3.152
Os Ru Pb
4 2 4
Cartesian
1.065 2.825 0.000
2.825 6.716 0.000
4.956 1.065 0.000
6.716 4.956 0.000
0.000 0.000 1.576
3.891 3.891 1.576
1.259 5.150 1.576
2.632 1.259 1.576
5.150 6.523 1.576
6.523 2.632 1.576

[19]
OsRuPb PBE-GGA optimized geometry; crystal system = cubic; M_tot = 0.000 Bohr magnetons per cell; N(E_F) = 0.807 states/eV/atom; VASP energy = -21.722 eV per cell; DFT formation energy = 0.8308 eV/atom; polymorph energy (0 for the lowest one) = 22.2 kJ/mol of atoms
1.0
0.000 3.088 3.088
3.088 0.000 3.088
3.088 3.088 0.000
Os Ru Pb
1 1 1
Cartesian
0.000 0.000 0.000
4.633 4.633 4.633
3.088 3.088 3.088

[20]
Th3OsRuPb PBE-GGA optimized geometry; crystal system = monoclinic; M_tot = 0.000 Bohr magnetons per cell; N(E_F) = 0.912 states/eV/atom; VASP energy = -96.386 eV per cell; DFT formation energy = -0.2866 eV/atom
1.0
8.604 0.000 0.000
0.000 4.261 0.000
-4.085 0.000 9.153
Th Os Ru Pb
6 2 2 2
Cartesian
0.756 1.065 1.281
0.027 3.195 4.348
-1.068 3.195 7.938
5.587 1.065 1.215
4.492 1.065 4.805
3.763 3.195 7.872
-2.912 1.065 7.615
7.431 3.195 1.538
-2.431 3.195 5.575
6.950 1.065 3.577
3.124 3.195 2.456
1.395 1.065 6.697

[21]
OsRuPb2W PBE-GGA optimized geometry; crystal system = tetragonal; M_tot = 2.157 Bohr magnetons per cell; N(E_F) = 1.289 states/eV/atom; VASP energy = -31.250 eV per cell; DFT formation energy = 1.9252 eV/atom
1.0
5.077 0.000 0.000
0.000 5.077 0.000
0.000 0.000 4.728
Os Ru Pb W
1 1 2 1
Cartesian
0.000 0.000 0.000
2.539 2.539 2.364
0.000 2.539 2.364
2.539 0.000 2.364
2.539 2.539 0.000

[22]
OsPb3S PBE-GGA optimized geometry; crystal system = cubic; M_tot = 0.000 Bohr magnetons per cell; N(E_F) = 0.000 states/eV/atom; formation energy (no corrections) = 0.28 eV per atom; VASP energy = -25.081 eV per cell; polymorph energy (0 for the lowest one) = 0.0 kJ/mol of atoms
1.0
5.241 0.000 0.000
0.000 5.241 0.000
0.000 0.000 5.241
Os Pb S
1 3 1
Cartesian
0.000 0.000 0.000
0.000 0.000 2.620
0.000 2.620 0.000
2.620 0.000 0.000
2.620 2.620 2.620

[23]
OsPb2S2 PBE-GGA optimized geometry; crystal system = tetragonal; M_tot = 7.585 Bohr magnetons per cell; N(E_F) = 0.705 states/eV/atom; formation energy (no corrections) = 0.86 eV per atom; VASP energy = -45.201 eV per cell; polymorph energy (0 for the lowest one) = 28.0 kJ/mol of atoms
1.0
7.784 0.000 0.000
0.000 7.784 0.000
0.000 0.000 4.029
Os Pb S
2 4 4
Cartesian
0.000 0.000 0.000
3.892 3.892 0.000
1.225 2.667 0.000
2.667 6.559 0.000
5.117 1.225 0.000
6.559 5.117 0.000
1.319 5.211 2.014
2.574 1.319 2.014
5.211 6.466 2.014
6.466 2.574 2.014

[24]
OsPb2S2 PBE-GGA optimized geometry; crystal system = tetragonal; M_tot = 0.000 Bohr magnetons per cell; N(E_F) = 0.701 states/eV/atom; formation energy (no corrections) = 0.57 eV per atom; VASP energy = -24.050 eV per cell; polymorph energy (0 for the lowest one) = 0.0 kJ/mol of atoms
1.0
-1.674 1.674 10.414
1.674 -1.674 10.414
1.674 1.674 -10.414
Os Pb S
1 2 2
Cartesian
0.000 0.000 0.000
0.000 0.000 8.659
0.000 0.000 12.169
1.674 0.000 5.207
0.000 1.674 5.207

[25]
OsPbS2 PBE-GGA optimized geometry; crystal system = trigonal; M_tot = 0.000 Bohr magnetons per cell; N(E_F) = 1.020 states/eV/atom; formation energy (no corrections) = -0.08 eV per atom; VASP energy = -23.518 eV per cell
1.0
1.787 1.032 8.252
-1.787 1.032 8.252
0.000 -2.063 8.252
Os Pb S
1 1 2
Cartesian
0.000 0.000 0.000
0.000 0.000 12.377
0.000 0.000 9.436
0.000 0.000 15.319

[26]
Os2PbS PBE-GGA optimized geometry; crystal system = cubic; M_tot = 0.000 Bohr magnetons per cell; N(E_F) = 0.895 states/eV/atom; formation energy (no corrections) = 1.20 eV per atom; VASP energy = -25.492 eV per cell; polymorph energy (0 for the lowest one) = 28.0 kJ/mol of atoms
1.0
0.000 3.215 3.215
3.215 0.000 3.215
3.215 3.215 0.000
Os Pb S
2 1 1
Cartesian
1.608 1.608 1.608
4.823 4.823 4.823
0.000 0.000 0.000
3.215 3.215 3.215

[27]
Os3PbS PBE-GGA optimized geometry; crystal system = cubic; M_tot = 0.000 Bohr magnetons per cell; N(E_F) = 0.880 states/eV/atom; formation energy (no corrections) = 1.22 eV per atom; VASP energy = -35.421 eV per cell; polymorph energy (0 for the lowest one) = 0.0 kJ/mol of atoms
1.0
4.461 0.000 0.000
0.000 4.461 0.000
0.000 0.000 4.461
Os Pb S
3 1 1
Cartesian
0.000 0.000 2.230
0.000 2.230 0.000
2.230 0.000 0.000
2.230 2.230 2.230
0.000 0.000 0.000

[28]
Os2PbS PBE-GGA optimized geometry; crystal system = tetragonal; M_tot = 0.000 Bohr magnetons per cell; N(E_F) = 0.583 states/eV/atom; formation energy (no corrections) = 0.91 eV per atom; VASP energy = -53.310 eV per cell; polymorph energy (0 for the lowest one) = 0.0 kJ/mol of atoms
1.0
-2.976 2.976 4.933
2.976 -2.976 4.933
2.976 2.976 -4.933
Os Pb S
4 2 2
Cartesian
4.464 1.052 -1.233
1.052 1.488 1.233
-1.488 1.924 3.700
1.924 1.488 6.166
2.976 0.000 2.466
0.000 0.000 4.933
0.000 0.000 0.000
0.000 2.976 2.466